First-principles (SCAN) data for a PBEsol-optimized structure of CdTcOs2, as listed in the Alexandria database.

Output
Its space group is C2/m, No. 12. The total magnetic moment is 0.0003 μB/atom. The calculation puts the energy of formation from the pure elements at 0.77 eV per atom.

Lattice parameters (Å, degrees): 5.310 5.310 2.693 103.07 103.07 117.61
Fractional positions:
1 Cd 0.000 0.000 0.000
2 Tc 0.500 0.500 0.000
3 Os 0.000 0.500 0.500
4 Os 0.500 0.000 0.500